1.
An optimized crystal structure of Pu2MgRu, computed with PBE-GGA.

abc: 3.2385 3.2385 10.8924
angles: 81.45 81.45 60.00
Closest atoms and distances in Å follow each position.
Positions (direct):
Mg  0.0000  0.0000  0.0000  6 Mg 3.24, 2 Pu 3.25
Pu  0.8990  0.8990  0.3031  3 Ru 2.82
Pu  0.1010  0.1010  0.6969  3 Ru 2.82
Ru  0.5000  0.5000  0.5000  6 Pu 2.82

Computed properties:
Space group = R-3m
Energy of formation from the pure elements = 0.2465 eV per atom
Size of the total moment = 11.2 Bohr magnetons per cell
Total DFT energy (no corrections) = -9.637 eV/atom



2.
An optimized crystal structure of CrPdPb2, computed with PBE-GGA.

abc: 4.8142 4.8142 4.8142
angles: 60.00 60.00 60.00
Closest atoms and distances in Å follow each position.
Positions (direct):
Pd  0.5000  0.5000  0.5000  8 Pb 2.95
Pb  0.7500  0.7500  0.7500  4 Pd 2.95, 4 Cr 2.95
Pb  0.2500  0.2500  0.2500  4 Cr 2.95, 4 Pd 2.95
Cr  0.0000  0.0000  0.0000  8 Pb 2.95

Computed properties:
Polymorph energy (0 for the lowest one) = 175 meV per atom
Space group = Fm-3m
Energy of formation from the pure elements = 0.5529 eV per atom
Size of the total moment = 0.0 Bohr magnetons per cell
Total DFT energy (no corrections) = -5.005 eV/atom



3.
An optimized crystal structure of Er12Tl3In, computed with PBE-GGA.

abc: 4.8043 4.8043 19.2603
angles: 90.00 90.00 90.00
Closest atoms and distances in Å follow each position.
Positions (direct):
Tl  0.0000  0.0000  0.5000  12 Er 3.40
Tl  0.0000  0.0000  0.7503  12 Er 3.40-3.41
Tl  0.0000  0.0000  0.2497  12 Er 3.40-3.41
Er  0.5000  0.5000  0.7503  4 Tl 3.40, 8 Er 3.40-3.41
Er  0.5000  0.0000  0.8760  2 In 3.39, 8 Er 3.39-3.41, 2 Tl 3.41
Er  0.0000  0.5000  0.8760  8 Er 3.39-3.41, 2 In 3.39, 2 Tl 3.41
Er  0.5000  0.0000  0.3748  8 Er 3.40, 4 Tl 3.40
Er  0.0000  0.5000  0.6252  8 Er 3.40, 4 Tl 3.40
Er  0.5000  0.5000  0.2497  4 Tl 3.40, 8 Er 3.40-3.41
Er  0.5000  0.5000  0.0000  8 Er 3.39, 4 In 3.40
Er  0.5000  0.0000  0.6252  8 Er 3.40, 4 Tl 3.40
Er  0.0000  0.5000  0.3748  8 Er 3.40, 4 Tl 3.40
Er  0.5000  0.0000  0.1240  2 In 3.39, 8 Er 3.39-3.41, 2 Tl 3.41
Er  0.0000  0.5000  0.1240  8 Er 3.39-3.41, 2 In 3.39, 2 Tl 3.41
Er  0.5000  0.5000  0.5000  4 Tl 3.40, 8 Er 3.40
In  0.0000  0.0000  0.0000  12 Er 3.39-3.40

Computed properties:
Space group = P4/mmm
Energy of formation from the pure elements = -0.1899 eV per atom
Size of the total moment = 1.6 Bohr magnetons per cell
Total DFT energy (no corrections) = -4.227 eV/atom



4.
An optimized crystal structure of Mg5Cd2GaRh2, computed with PBE-GGA.

abc: 3.6933 10.3131 10.3131
angles: 90.00 90.00 90.00
Closest atoms and distances in Å follow each position.
Positions (direct):
Ga  0.0000  0.0000  0.0000  8 Mg 2.92
Ga  0.0000  0.5000  0.5000  8 Mg 2.92
Mg  0.5000  0.5000  0.0000  4 Rh 2.57
Mg  0.5000  0.0000  0.5000  4 Rh 2.57
Mg  0.5000  0.9217  0.2051  2 Rh 2.60
Mg  0.5000  0.4217  0.2949  2 Rh 2.60
Mg  0.5000  0.2051  0.0783  2 Rh 2.60
Mg  0.5000  0.2949  0.5783  2 Rh 2.60
Mg  0.5000  0.7051  0.4217  2 Rh 2.60
Mg  0.5000  0.7949  0.9217  2 Rh 2.60
Mg  0.5000  0.5783  0.7051  2 Rh 2.60
Mg  0.5000  0.0783  0.7949  2 Rh 2.60
Rh  0.0000  0.6223  0.8777  6 Mg 2.57-2.60
Rh  0.0000  0.3777  0.1223  6 Mg 2.57-2.60
Rh  0.0000  0.8777  0.3777  6 Mg 2.57-2.60
Rh  0.0000  0.1223  0.6223  6 Mg 2.57-2.60
Cd  0.0000  0.1712  0.3288  3 Rh 3.01-3.07, 6 Mg 3.11-3.19
Cd  0.0000  0.8288  0.6712  3 Rh 3.01-3.07, 6 Mg 3.11-3.19
Cd  0.0000  0.3288  0.8288  3 Rh 3.01-3.07, 6 Mg 3.11-3.19
Cd  0.0000  0.6712  0.1712  3 Rh 3.01-3.07, 6 Mg 3.11-3.19

Computed properties:
Space group = P4/mbm
Energy of formation from the pure elements = -0.2117 eV per atom
Size of the total moment = 0.0 Bohr magnetons per cell
Total DFT energy (no corrections) = -2.965 eV/atom



5.
An optimized crystal structure of Er2Sc4Pa, computed with PBE-GGA.

abc: 3.3350 3.3324 18.9719
angles: 95.09 90.00 120.03
Closest atoms and distances in Å follow each position.
Positions (direct):
Sc  0.4323  0.8646  0.5300  3 Pa 3.24-3.28, 6 Sc 3.33-3.34, 3 Er 3.39-3.40
Sc  0.9002  0.8004  0.9468  9 Sc 3.22-3.34, 3 Er 3.34-3.36
Sc  0.0027  0.0055  0.2374  6 Sc 3.33-3.34, 6 Er 3.34-3.35
Sc  0.5211  0.0421  0.8098  9 Sc 3.22-3.34, 3 Pa 3.27
Pa  0.8069  0.6138  0.6697  6 Sc 3.24-3.28, 6 Pa 3.33-3.34
Er  0.7179  0.4359  0.3819  6 Er 3.33-3.34, 6 Sc 3.34-3.40
Er  0.6203  0.2406  0.0923  6 Er 3.33-3.34, 6 Sc 3.34-3.36

Computed properties:
Space group = Cm
Energy of formation from the pure elements = 0.0496 eV per atom
Size of the total moment = 0.4 Bohr magnetons per cell
Total DFT energy (no corrections) = -6.229 eV/atom



6.
An optimized crystal structure of KNaGaGe, computed with PBE-GGA.

abc: 4.2800 4.2800 8.9259
angles: 89.97 103.88 120.04
Closest atoms and distances in Å follow each position.
Positions (direct):
Na  0.9921  0.8602  0.8522  3 Ge 3.27-3.28, 3 Ga 3.35
Ge  0.8253  0.2774  0.1027  3 Ga 2.47
Ga  0.5011  0.6149  0.1160  3 Ge 2.47
K  0.3736  0.0519  0.4256  3 Ga 3.62-3.63, 3 Ge 3.71

Computed properties:
Space group = R3m
Energy of formation from the pure elements = -0.1048 eV per atom
Size of the total moment = 0.0 Bohr magnetons per cell
Total DFT energy (no corrections) = -2.620 eV/atom



7.
An optimized crystal structure of NiAg3Sn, computed with PBE-GGA.

abc: 4.8151 4.8151 4.8151
angles: 90.00 90.00 90.00
Closest atoms and distances in Å follow each position.
Positions (direct):
Ag  0.5000  0.0000  0.0000  2 Ni 2.41
Ag  0.0000  0.5000  0.0000  2 Ni 2.41
Ag  0.0000  0.0000  0.5000  2 Ni 2.41
Ni  0.0000  0.0000  0.0000  6 Ag 2.41
Sn  0.5000  0.5000  0.5000  12 Ag 3.40

Computed properties:
Polymorph energy (0 for the lowest one) = 0 meV per atom
Space group = Pm-3m
Energy of formation from the pure elements = 0.5988 eV per atom
Size of the total moment = 0.0 Bohr magnetons per cell
Total DFT energy (no corrections) = -3.069 eV/atom



8.
An optimized crystal structure of TeWAu2, computed with PBE-GGA.

abc: 10.3475 10.3475 10.3475
angles: 16.75 16.75 16.75
Closest atoms and distances in Å follow each position.
Positions (direct):
W  0.7500  0.7500  0.7500  6 Au 2.83, 6 W 3.01
Au  0.0105  0.0105  0.0105  3 W 2.83, 6 Au 3.01
Au  0.4895  0.4895  0.4895  3 W 2.83, 6 Au 3.01
Te  0.2500  0.2500  0.2500  6 Te 3.01, 6 Au 3.36

Computed properties:
Space group = R-3m
Size of the total moment = 0.0 Bohr magnetons per cell
Total DFT energy (no corrections) = -5.148 eV/atom